No. 1
Zr2NiGe2 (PBE, optimized geometry); energy of formation = -0.66 eV/atom
1.0
-2.804 6.033 2.754
2.804 -6.033 2.754
2.804 6.033 -2.754
Zr Ni Ge
4 2 4
Cartesian
1.334 1.812 0.000 Zr
1.334 -1.812 2.754 Zr
1.470 7.845 0.000 Zr
1.470 4.220 2.754 Zr
2.804 0.000 1.377 Ni
0.000 6.033 1.377 Ni
4.215 1.413 0.000 Ge
1.412 4.620 0.000 Ge
1.392 1.413 2.754 Ge
-1.412 4.620 2.754 Ge

---

No. 2
Mg3In2Ag (PBE, optimized geometry); energy of formation = -0.11 eV/atom
1.0
3.593 0.000 0.000
0.000 3.593 0.000
0.000 0.000 10.113
Mg In Ag
3 2 1
Cartesian
0.000 0.000 0.000 Mg
0.000 0.000 3.558 Mg
0.000 0.000 6.555 Mg
1.797 1.797 1.810 In
1.797 1.797 8.304 In
1.797 1.797 5.057 Ag

---

No. 3
KPmNiBr6 (PBE, optimized geometry); uncorrected formation energy = -1307 meV/atom
1.0
7.121 0.000 0.000
-3.560 6.167 0.000
0.000 0.000 14.567
K Pm Ni Br
2 2 2 12
Cartesian
0.000 0.000 0.000 K
0.000 0.000 7.284 K
0.000 4.111 3.642 Pm
3.560 2.056 10.925 Pm
0.000 4.111 10.925 Ni
3.560 2.056 3.642 Ni
-1.148 2.374 9.376 Br
-2.078 3.986 12.474 Br
1.148 2.374 12.474 Br
-0.930 5.974 9.376 Br
2.630 0.193 2.093 Br
1.483 2.181 5.191 Br
2.078 3.986 9.376 Br
0.930 5.974 12.474 Br
4.491 0.193 5.191 Br
2.413 3.792 2.093 Br
5.638 2.181 2.093 Br
4.708 3.792 5.191 Br

---

No. 4
BeWCl2 (PBE, optimized geometry); uncorrected formation energy = 53 meV/atom
1.0
3.154 0.000 0.000
0.000 3.523 0.000
0.000 0.000 15.013
Be W Cl
2 2 4
Cartesian
0.000 0.000 0.000 Be
1.577 1.762 7.506 Be
0.000 0.000 7.506 W
1.577 1.762 0.000 W
0.000 1.762 1.943 Cl
0.000 1.762 13.070 Cl
1.577 0.000 5.563 Cl
1.577 0.000 9.449 Cl